# 1
A relaxed structure of CuAsOs2, computed with PBE.

Output
The calculation puts the magnetic moment at 0.00 μB per cell. The total energy is -7.340 eV/atom. The density of states at the Fermi level comes out at 6.84 states/eV per cell. The value obtained for the calculated formation energy is 461 meV per atom.

abc: 8.6195 2.8778 4.6903
angles: 90.00 98.64 90.00
Closest atoms and distances in Å follow each position.
Space group Cm (No. 8)
One atom of each set of equivalent atoms:
Cu  0.0000  0.0000  0.0000 x2  3 As 2.47-2.67, 5 Os 2.63-2.71
As  0.2528  0.5000  0.2059 x2  3 Cu 2.47-2.67, 3 Os 2.58-2.71
Os  0.0100  0.5000  0.5125 x2  5 Os 2.62-2.88, 3 As 2.71-2.85, 4 Cu 2.71-2.79
Os  0.2532  0.0000  0.7482 x2  2 As 2.58, 5 Os 2.62-2.88, 3 Cu 2.63-2.69

# 2
A relaxed structure of CuAs2Os, computed with PBE.

Output
The calculation puts the magnetic moment at 0.00 μB per cell. The total energy is -5.929 eV/atom. The density of states at the Fermi level comes out at 4.68 states/eV per cell. The value obtained for the calculated formation energy is 227 meV per atom.

abc: 8.1173 3.0760 6.1763
angles: 90.00 109.31 90.00
Closest atoms and distances in Å follow each position.
Space group Cm (No. 8)
One atom of each set of equivalent atoms:
Cu  0.0000  0.0000  0.0000 x2  3 As 2.33-2.48
As  0.0349  0.5000  0.3987 x2  3 Os 2.49-2.54
As  0.2458  0.0000  0.8855 x2  3 Cu 2.33-2.48, 2 Os 2.58
Os  0.2826  0.5000  0.2337 x2  5 As 2.49-2.58, 3 Cu 2.62-2.74

# 3
A relaxed structure of CuAs2Os, computed with PBE.

Output
The calculation puts the magnetic moment at 0.07 μB per cell. The total energy is -5.834 eV/atom. The density of states at the Fermi level comes out at 14.10 states/eV per cell. The value obtained for the calculated formation energy is 322 meV per atom.

abc: 2.9446 2.9446 28.1518
angles: 90.00 90.00 120.00
Closest atoms and distances in Å follow each position.
Space group R3m (No. 160, hexagonal axes)
One atom of each set of equivalent atoms:
Cu  0.0000  0.0000  0.0000 x3  3 As 2.55, 3 Os 2.69
As  0.0000  0.0000  0.5276 x3  3 Os 2.49
As  0.0000  0.0000  0.7340 x3  3 Cu 2.55
Os  0.0000  0.0000  0.2591 x3  3 As 2.49, 3 Cu 2.69

Repeat the first record exactly.
A relaxed structure of CuAsOs2, computed with PBE.

Output
The calculation puts the magnetic moment at 0.00 μB per cell. The total energy is -7.340 eV/atom. The density of states at the Fermi level comes out at 6.84 states/eV per cell. The value obtained for the calculated formation energy is 461 meV per atom.

abc: 8.6195 2.8778 4.6903
angles: 90.00 98.64 90.00
Closest atoms and distances in Å follow each position.
Space group Cm (No. 8)
One atom of each set of equivalent atoms:
Cu  0.0000  0.0000  0.0000 x2  3 As 2.47-2.67, 5 Os 2.63-2.71
As  0.2528  0.5000  0.2059 x2  3 Cu 2.47-2.67, 3 Os 2.58-2.71
Os  0.0100  0.5000  0.5125 x2  5 Os 2.62-2.88, 3 As 2.71-2.85, 4 Cu 2.71-2.79
Os  0.2532  0.0000  0.7482 x2  2 As 2.58, 5 Os 2.62-2.88, 3 Cu 2.63-2.69

Question: Which formula does entry 3 have?
Answer: CuAs2Os